First-principles (GGA+U) data for a relaxed CoH14C10N8O2 crystal, as listed in the Alexandria database.

Cell and atoms, written as POSCAR:
```
CoH14C10N8O2
1.0
3.761 7.050 -0.191
-3.761 7.050 -0.191
0.000 3.138 7.558
Co H C N O
1 14 10 8 2
Direct
0.000 0.000 0.500
0.508 0.745 0.156
0.745 0.508 0.156
0.492 0.255 0.844
0.255 0.492 0.844
0.775 0.775 0.750
0.225 0.225 0.250
0.766 0.766 0.264
0.234 0.234 0.736
0.752 0.987 0.111
0.987 0.752 0.111
0.248 0.013 0.889
0.013 0.248 0.889
0.629 0.629 0.965
0.371 0.371 0.035
0.240 0.545 0.417
0.545 0.240 0.417
0.760 0.455 0.583
0.455 0.760 0.583
0.820 0.820 0.835
0.180 0.180 0.165
0.821 0.821 0.130
0.179 0.179 0.870
0.656 0.656 0.075
0.344 0.344 0.925
0.109 0.704 0.460
0.704 0.109 0.460
0.891 0.296 0.540
0.296 0.891 0.540
0.374 0.374 0.360
0.626 0.626 0.640
0.767 0.767 0.007
0.233 0.233 0.993
0.916 0.916 0.775
0.084 0.084 0.225
```

## Properties
total magnetic moment: 3.0 μB/cell
calculated total energy: -0.473 Ry per atom